A.
DFT (PBE) results for a relaxed structure of Pd8Se.

Cell lengths 8.810, 8.810, 2.681 Å; angles 90.00, 90.00, 120.00 degrees
Element x y z (fractional)
Pd1 0.170 0.339 0.000
Pd2 0.170 0.830 0.000
Pd3 0.333 0.667 0.000
Pd4 0.339 0.170 0.000
Pd5 0.661 0.830 0.000
Pd6 0.667 0.333 0.000
Pd7 0.830 0.170 0.000
Pd8 0.830 0.661 0.000
Se1 0.000 0.000 0.500

Output
symmetry	No. 191


B.
DFT (PBE) results for a relaxed structure of Pd8Se.

Cell lengths 7.545, 7.545, 2.850 Å; angles 90.00, 90.00, 120.00 degrees
Element x y z (fractional)
Pd1 0.000 0.289 0.000
Pd2 0.000 0.633 0.500
Pd3 0.289 0.000 0.000
Pd4 0.333 0.667 0.000
Pd5 0.367 0.367 0.500
Pd6 0.633 0.000 0.500
Pd7 0.667 0.333 0.000
Pd8 0.711 0.711 0.000
Se1 0.000 0.000 0.500

Output
symmetry	No. 189


Going by the computed energies, the most stable comes first: B, A.


A.
DFT (PBE) results for a relaxed structure of ZrTlTePdSe2.

Cell lengths 8.312, 3.904, 10.510 Å; angles 90.00, 110.51, 90.00 degrees
Element x y z (fractional)
Zr1 0.228 0.250 0.184
Zr2 0.772 0.750 0.816
Tl1 0.229 0.750 0.691
Tl2 0.771 0.250 0.309
Te1 0.063 0.250 0.877
Te2 0.937 0.750 0.123
Pd1 0.418 0.750 0.395
Pd2 0.582 0.250 0.605
Se1 0.246 0.250 0.439
Se2 0.431 0.750 0.153
Se3 0.569 0.250 0.847
Se4 0.754 0.750 0.561

Output
size of the total moment	0.000	μB/atom
symmetry	No. 11


B.
DFT (PBE) results for a relaxed structure of ZrTlTePdSe2.

Cell lengths 8.493, 3.918, 10.165 Å; angles 90.00, 111.77, 90.00 degrees
Element x y z (fractional)
Zr1 0.191 0.250 0.168
Zr2 0.809 0.750 0.832
Tl1 0.219 0.750 0.704
Tl2 0.781 0.250 0.296
Te1 0.431 0.750 0.138
Te2 0.569 0.250 0.862
Pd1 0.405 0.750 0.398
Pd2 0.595 0.250 0.602
Se1 0.049 0.250 0.872
Se2 0.245 0.250 0.444
Se3 0.755 0.750 0.556
Se4 0.951 0.750 0.128

Output
size of the total moment	0.002	μB/atom
symmetry	No. 11


Going by the computed energies, the most stable comes first: B, A.


A.
DFT (PBE) results for a relaxed structure of SiPd4.

Cell lengths 4.427, 7.680, 9.356 Å; angles 110.29, 94.95, 90.26 degrees
Element x y z (fractional)
Si1 0.179 0.342 0.352
Si2 0.270 0.653 0.196
Si3 0.730 0.347 0.804
Si4 0.821 0.658 0.648
Pd1 0.191 0.730 0.462
Pd2 0.224 0.861 0.792
Pd3 0.228 0.526 0.919
Pd4 0.244 0.172 0.726
Pd5 0.248 0.905 0.096
Pd6 0.272 0.271 0.091
Pd7 0.286 0.066 0.408
Pd8 0.337 0.493 0.627
Pd9 0.663 0.507 0.373
Pd10 0.714 0.934 0.592
Pd11 0.728 0.729 0.909
Pd12 0.752 0.095 0.904
Pd13 0.756 0.828 0.274
Pd14 0.772 0.474 0.081
Pd15 0.776 0.139 0.208
Pd16 0.809 0.270 0.538

Output
symmetry	No. 2


B.
DFT (PBE) results for a relaxed structure of SiPd4.

Cell lengths 5.580, 5.580, 4.914 Å; angles 90.00, 90.00, 90.00 degrees
Element x y z (fractional)
Si1 0.250 0.250 0.000
Si2 0.750 0.750 0.000
Pd1 0.079 0.579 0.259
Pd2 0.079 0.921 0.741
Pd3 0.421 0.579 0.741
Pd4 0.421 0.921 0.259
Pd5 0.579 0.079 0.741
Pd6 0.579 0.421 0.259
Pd7 0.921 0.079 0.259
Pd8 0.921 0.421 0.741

Output
symmetry	No. 125


Going by the computed energies, the most stable comes first: B, A.


A.
DFT (PBE) results for a relaxed structure of Sm3Zn2Si4Pd2.

Cell lengths 12.876, 12.876, 12.876 Å; angles 161.87, 161.21, 26.23 degrees
Element x y z (fractional)
Sm1 0.000 0.000 0.000
Sm2 0.354 0.854 0.500
Sm3 0.646 0.146 0.500
Zn1 0.250 0.250 0.000
Zn2 0.750 0.750 0.000
Si1 0.190 0.690 0.500
Si2 0.453 0.453 0.000
Si3 0.547 0.547 0.000
Si4 0.810 0.310 0.500
Pd1 0.095 0.595 0.500
Pd2 0.905 0.405 0.500

Output
size of the total moment	0.000	μB/atom
symmetry	No. 71


B.
DFT (PBE) results for a relaxed structure of Sm3Zn2Si4Pd2.

Cell lengths 12.596, 12.596, 12.596 Å; angles 161.08, 160.92, 26.99 degrees
Element x y z (fractional)
Sm1 0.000 0.000 0.000
Sm2 0.147 0.647 0.500
Sm3 0.853 0.353 0.500
Zn1 0.403 0.903 0.500
Zn2 0.597 0.097 0.500
Si1 0.305 0.805 0.500
Si2 0.452 0.452 0.000
Si3 0.548 0.548 0.000
Si4 0.695 0.195 0.500
Pd1 0.250 0.250 0.000
Pd2 0.750 0.750 0.000

Output
size of the total moment	0.001	μB/atom
symmetry	No. 71


Going by the computed energies, the most stable comes first: B, A.


A.
DFT (PBE) results for a relaxed structure of SmTaPd.

Cell lengths 4.675, 4.675, 4.675 Å; angles 60.00, 60.00, 60.00 degrees
Element x y z (fractional)
Sm1 0.000 0.000 0.000
Ta1 0.500 0.500 0.500
Pd1 0.250 0.250 0.250

Output
size of the total moment	0.383	μB/atom
symmetry	No. 216


B.
DFT (PBE) results for a relaxed structure of SmTaPd.

Cell lengths 4.644, 4.644, 4.644 Å; angles 60.00, 60.00, 60.00 degrees
Element x y z (fractional)
Sm1 0.000 0.000 0.000
Ta1 0.250 0.250 0.250
Pd1 0.750 0.750 0.750

Output
size of the total moment	0.417	μB/atom
symmetry	No. 216


Going by the computed energies, the most stable comes first: A, B.


A.
DFT (PBE) results for a relaxed structure of SmPdW.

Cell lengths 4.606, 4.606, 4.606 Å; angles 60.00, 60.00, 60.00 degrees
Element x y z (fractional)
Sm1 0.000 0.000 0.000
Pd1 0.250 0.250 0.250
W1 0.500 0.500 0.500

Output
size of the total moment	0.360	μB/atom
symmetry	No. 216


B.
DFT (PBE) results for a relaxed structure of SmPdW.

Cell lengths 4.673, 4.673, 4.673 Å; angles 60.00, 60.00, 60.00 degrees
Element x y z (fractional)
Sm1 0.000 0.000 0.000
Pd1 0.750 0.750 0.750
W1 0.250 0.250 0.250

Output
size of the total moment	0.950	μB/atom
symmetry	No. 216


Going by the computed energies, the most stable comes first: A, B.


A.
DFT (PBE) results for a relaxed structure of SrTaPd.

Cell lengths 4.783, 4.783, 4.783 Å; angles 60.00, 60.00, 60.00 degrees
Element x y z (fractional)
Sr1 0.000 0.000 0.000
Ta1 0.500 0.500 0.500
Pd1 0.250 0.250 0.250

Output
size of the total moment	0.395	μB/atom
symmetry	No. 216


B.
DFT (PBE) results for a relaxed structure of SrTaPd.

Cell lengths 4.930, 4.930, 4.930 Å; angles 60.00, 60.00, 60.00 degrees
Element x y z (fractional)
Sr1 0.000 0.000 0.000
Ta1 0.250 0.250 0.250
Pd1 0.750 0.750 0.750

Output
size of the total moment	1.068	μB/atom
symmetry	No. 216


Going by the computed energies, the most stable comes first: A, B.


A.
DFT (PBE) results for a relaxed structure of SrTbTe3Pd.

Cell lengths 14.513, 4.366, 11.616 Å; angles 90.00, 90.00, 90.00 degrees
Element x y z (fractional)
Sr1 0.221 0.250 0.049
Sr2 0.279 0.750 0.549
Sr3 0.721 0.250 0.451
Sr4 0.779 0.750 0.951
Tb1 0.020 0.250 0.327
Tb2 0.480 0.750 0.827
Tb3 0.520 0.250 0.173
Tb4 0.980 0.750 0.673
Te1 0.100 0.750 0.889
Te2 0.109 0.250 0.570
Te3 0.157 0.750 0.256
Te4 0.343 0.250 0.756
Te5 0.391 0.750 0.070
Te6 0.400 0.250 0.389
Te7 0.600 0.750 0.611
Te8 0.609 0.250 0.930
Te9 0.657 0.750 0.244
Te10 0.843 0.250 0.744
Te11 0.891 0.750 0.430
Te12 0.900 0.250 0.111
Pd1 0.008 0.750 0.094
Pd2 0.492 0.250 0.594
Pd3 0.508 0.750 0.406
Pd4 0.992 0.250 0.906

Output
size of the total moment	0.000	μB/atom
symmetry	No. 62


B.
DFT (PBE) results for a relaxed structure of SrTbTe3Pd.

Cell lengths 7.798, 7.798, 11.143 Å; angles 90.00, 90.00, 148.38 degrees
Element x y z (fractional)
Sr1 0.240 0.760 0.750
Sr2 0.760 0.240 0.250
Tb1 0.000 0.000 0.000
Tb2 0.000 0.000 0.500
Te1 0.084 0.916 0.250
Te2 0.356 0.644 0.058
Te3 0.356 0.644 0.442
Te4 0.644 0.356 0.558
Te5 0.644 0.356 0.942
Te6 0.916 0.084 0.750
Pd1 0.472 0.528 0.250
Pd2 0.528 0.472 0.750

Output
size of the total moment	0.000	μB/atom
symmetry	No. 63


Going by the computed energies, the most stable comes first: A, B.


A.
DFT (PBE) results for a relaxed structure of Ta3Pd2.

Cell lengths 7.026, 7.026, 3.540 Å; angles 90.00, 90.00, 90.00 degrees
Element x y z (fractional)
Ta1 0.000 0.000 0.000
Ta2 0.173 0.327 0.500
Ta3 0.327 0.827 0.500
Ta4 0.500 0.500 0.000
Ta5 0.673 0.173 0.500
Ta6 0.827 0.673 0.500
Pd1 0.129 0.629 0.000
Pd2 0.371 0.129 0.000
Pd3 0.629 0.871 0.000
Pd4 0.871 0.371 0.000

Output
size of the total moment	0.006	μB/atom
symmetry	No. 127


B.
DFT (PBE) results for a relaxed structure of Ta3Pd2.

Cell lengths 8.113, 8.113, 8.113 Å; angles 156.51, 156.51, 33.46 degrees
Element x y z (fractional)
Ta1 0.000 0.000 0.000
Ta2 0.393 0.393 0.000
Ta3 0.607 0.607 0.000
Pd1 0.198 0.198 0.000
Pd2 0.802 0.802 0.000

Output
size of the total moment	0.001	μB/atom
symmetry	No. 139


Going by the computed energies, the most stable comes first: B, A.


A.
DFT (PBE) results for a relaxed structure of TaTePd.

Cell lengths 4.540, 4.540, 4.540 Å; angles 60.00, 60.00, 60.00 degrees
Element x y z (fractional)
Ta1 0.000 0.000 0.000
Te1 0.250 0.250 0.250
Pd1 0.750 0.750 0.750

Output
size of the total moment	0.068	μB/atom
symmetry	No. 216


B.
DFT (PBE) results for a relaxed structure of TaTePd.

Cell lengths 4.483, 4.483, 4.483 Å; angles 60.00, 60.00, 60.00 degrees
Element x y z (fractional)
Ta1 0.000 0.000 0.000
Te1 0.750 0.750 0.750
Pd1 0.500 0.500 0.500

Output
size of the total moment	0.000	μB/atom
symmetry	No. 216


Going by the computed energies, the most stable comes first: A, B.


A.
DFT (PBE) results for a relaxed structure of TbTmPd2.

Cell lengths 5.528, 4.589, 6.900 Å; angles 90.00, 90.96, 90.00 degrees
Element x y z (fractional)
Tb1 0.146 0.250 0.184
Tb2 0.854 0.750 0.816
Tm1 0.357 0.250 0.682
Tm2 0.643 0.750 0.318
Pd1 0.159 0.750 0.463
Pd2 0.347 0.750 0.954
Pd3 0.653 0.250 0.046
Pd4 0.841 0.250 0.537

Output
size of the total moment	0.002	μB/atom
symmetry	No. 11


B.
DFT (PBE) results for a relaxed structure of TbTmPd2.

Cell lengths 4.467, 5.666, 6.881 Å; angles 90.00, 90.00, 90.00 degrees
Element x y z (fractional)
Tb1 0.000 0.109 0.000
Tb2 0.000 0.891 0.500
Tm1 0.500 0.391 0.362
Tm2 0.500 0.609 0.862
Pd1 0.000 0.408 0.638
Pd2 0.000 0.592 0.138
Pd3 0.500 0.098 0.722
Pd4 0.500 0.902 0.222

Output
size of the total moment	0.002	μB/atom
symmetry	No. 26


Going by the computed energies, the most stable comes first: A, B.


A.
DFT (PBE) results for a relaxed structure of TcPd.

Cell lengths 3.686, 3.686, 3.686 Å; angles 60.00, 60.00, 60.00 degrees
Element x y z (fractional)
Tc1 0.000 0.000 0.000
Pd1 0.500 0.500 0.500

Output
size of the total moment	1.253	μB/atom
symmetry	No. 225


B.
DFT (PBE) results for a relaxed structure of TcPd.

Cell lengths 2.740, 2.740, 4.520 Å; angles 90.00, 90.00, 120.00 degrees
Element x y z (fractional)
Tc1 0.000 0.000 0.000
Pd1 0.333 0.667 0.500

Output
size of the total moment	0.006	μB/atom
symmetry	No. 187


C.
DFT (PBE) results for a relaxed structure of TcPd.

Cell lengths 3.942, 3.942, 3.942 Å; angles 60.00, 60.00, 60.00 degrees
Element x y z (fractional)
Tc1 0.000 0.000 0.000
Pd1 0.250 0.250 0.250

Output
size of the total moment	0.003	μB/atom
symmetry	No. 216


Going by the computed energies, the most stable comes first: B, A, C.